# 1
Here is a relaxed structure of TcHPd2 from the Alexandria database. Energies are from GGA-PBE.

Results
Energy   -90.0 eV/cell
Calculated volume   201.6 Å³ per cell
Calculated density   10.3 Mg/m³
Spin magnetization   8.00 μB per cell
E above lowest polymorph   100 meV per atom

a = 6.1792 Å, b = 6.1792 Å, c = 5.2795 Å
α = 90.00°, β = 90.00°, γ = 90.00°
Element x y z (fractional)
Tc: 0.0000 0.0000 0.0000
Tc: 0.0000 0.5000 0.2500
Tc: 0.5000 0.0000 0.7500
Tc: 0.5000 0.5000 0.5000
H: 0.0000 0.0000 0.5000
H: 0.0000 0.5000 0.7500
H: 0.5000 0.0000 0.2500
H: 0.5000 0.5000 0.0000
Pd: 0.1473 0.2500 0.6250
Pd: 0.2500 0.6473 0.8750
Pd: 0.2500 0.8527 0.3750
Pd: 0.3527 0.2500 0.1250
Pd: 0.6473 0.7500 0.1250
Pd: 0.7500 0.1473 0.3750
Pd: 0.7500 0.3527 0.8750
Pd: 0.8527 0.7500 0.6250

***

# 2
Here is a relaxed structure of TcHPd2 from the Alexandria database. Energies are from GGA-PBE.

Results
Energy   -68.7 eV/cell
Calculated volume   149.8 Å³ per cell
Calculated density   10.4 Mg/m³
Spin magnetization   0.00 μB per cell
E above lowest polymorph   0 meV per atom

a = 2.7283 Å, b = 2.7283 Å, c = 23.2313 Å
α = 90.00°, β = 90.00°, γ = 120.00°
Element x y z (fractional)
Tc: 0.0000 0.0000 0.0000
Tc: 0.3333 0.6667 0.6667
Tc: 0.6667 0.3333 0.3333
H: 0.0000 0.0000 0.5000
H: 0.3333 0.6667 0.1667
H: 0.6667 0.3333 0.8333
Pd: 0.0000 0.0000 0.1114
Pd: 0.0000 0.0000 0.8886
Pd: 0.3333 0.6667 0.5553
Pd: 0.3333 0.6667 0.7780
Pd: 0.6667 0.3333 0.2220
Pd: 0.6667 0.3333 0.4447

***

# 3
Here is a relaxed structure of TiTc2HPd from the Alexandria database. Energies are from GGA-PBE.

Results
Energy   -38.2 eV/cell
Calculated volume   61.7 Å³ per cell
Calculated density   9.5 Mg/m³
Spin magnetization   0.00 μB per cell

a = 3.8837 Å, b = 3.8837 Å, c = 4.0921 Å
α = 90.00°, β = 90.00°, γ = 90.00°
Element x y z (fractional)
Ti: 0.0000 0.0000 0.0000
Tc: 0.0000 0.5000 0.5000
Tc: 0.5000 0.0000 0.5000
H: 0.0000 0.0000 0.5000
Pd: 0.5000 0.5000 0.0000

***

# 4
Here is a relaxed structure of VTc2HPd from the Alexandria database. Energies are from GGA-PBE.

Results
Energy   -38.7 eV/cell
Calculated volume   59.4 Å³ per cell
Calculated density   9.9 Mg/m³
Spin magnetization   0.00 μB per cell

a = 3.8947 Å, b = 3.8947 Å, c = 3.9137 Å
α = 90.00°, β = 90.00°, γ = 90.00°
Element x y z (fractional)
V: 0.0000 0.0000 0.0000
Tc: 0.0000 0.5000 0.5000
Tc: 0.5000 0.0000 0.5000
H: 0.0000 0.0000 0.5000
Pd: 0.5000 0.5000 0.0000